Entry 1:
The following is a PBE calculation of KSr2LiPd after structural relaxation, from Alexandria.

Cell and atoms, written as POSCAR:
```
KSr2LiPd
1.0
5.947 0.000 0.000
0.000 5.947 0.000
0.000 0.000 6.324
Pd Sr Li K
1 2 1 1
Direct
0.000 0.000 0.000
0.500 0.000 0.000
0.000 0.500 0.000
0.500 0.500 0.500
0.000 0.000 0.500
```

Output
**Formation energy**: -0.062 eV per atom
**Magnetization**: 0.00 Bohr magnetons per cell
**D(E_F)**: 0.75 states/eV per atom
**Symmetry**: P4/mmm, No. 123
**Distance to the lowest polymorph of the same formula**: 86 meV per atom
**Crystal system**: tetragonal


Entry 2:
The following is a PBE calculation of SrZn4Fe after structural relaxation, from Alexandria.

Cell and atoms, written as POSCAR:
```
SrZn4Fe
1.0
-2.068 -1.545 4.649
0.935 2.836 4.400
-3.921 2.815 2.232
Fe Zn Sr
1 4 1
Direct
0.750 0.750 0.750
0.377 0.377 0.869
0.377 0.377 0.377
0.377 0.869 0.377
0.869 0.377 0.377
0.000 0.000 0.000
```

Output
**Formation energy**: 0.109 eV per atom
**Magnetization**: 2.13 Bohr magnetons per cell
**D(E_F)**: 1.09 states/eV per atom
**Symmetry**: F-43m, No. 216
**Crystal system**: cubic